Below is a geometry-optimized KAgIr3 structure, with properties calculated at the PBE level.

Output
**ΔE_f**: 10.329 eV/f.u.
**Size of the total moment**: 2.8 Bohr magnetons per cell
**DOS at the Fermi energy**: 10.0 states/eV/f.u.

Unit cell a=4.964 b=4.964 c=4.964 alpha=90.00 beta=90.00 gamma=90.00
Space group Pm-3m (No. 221)
Asymmetric unit:
K 0.000 0.000 0.000 [1 per cell]
Ag 0.500 0.500 0.500 [1 per cell]
Ir 0.000 0.500 0.500 [3 per cell]